DFT (PBE-GGA) results for FeCo2Au after structural relaxation.

Geometry as POSCAR:
```
FeCo2Au
1.0
4.3135 -1.3543 0.0000
4.3135 1.3543 0.0000
-0.8902 0.0000 4.4880
Fe Co Au
1 2 1
Cartesian
0.0000 0.0000 0.0000
3.8079 0.0000 1.9446
6.2281 0.0000 1.0295
1.4497 0.0000 3.2368
```

* relative energy among the computed polymorphs: 58 meV per atom
* SG: Cm, No. 8
* V: 13.109 Å³/atom
* total moment: 6.0 μB/f.u.
* total energy: -25.3 eV per cell
* energy of formation from the pure elements: 0.17 eV/atom